No. 1
Material: Sm2ErZr
Method: DFT, PBE
State: optimized geometry

Computed properties:
Total energy, eV per cell: -22.12
Energy relative to the lowest polymorph listed for this composition, eV per atom: 0.000

```
Sm2ErZr
1.0
3.484 0.000 0.000
1.742 3.018 0.000
1.742 1.006 11.304
Sm Er Zr
2 1 1
Direct
0.254 0.254 0.237
0.079 0.079 0.762
0.500 0.500 0.501
0.667 0.667 0.999
```

=====

No. 2
Material: SmEr2Zr
Method: DFT, PBE
State: optimized geometry

Computed properties:
Total energy, eV per cell: -21.73
Energy relative to the lowest polymorph listed for this composition, eV per atom: 0.094

```
SmEr2Zr
1.0
-0.803 -1.167 -3.731
-3.498 -1.485 1.217
-3.215 6.479 -1.335
Er Sm Zr
2 1 1
Direct
0.000 0.000 0.221
0.000 0.000 0.779
0.500 0.500 0.500
0.500 0.500 0.000
```

=====

No. 3
Material: Sm2ErZr
Method: DFT, PBE
State: optimized geometry

Computed properties:
Total energy, eV per cell: -21.35
Energy relative to the lowest polymorph listed for this composition, eV per atom: 0.191

```
Sm2ErZr
1.0
-0.949 -2.726 -1.772
1.294 -3.039 0.746
-8.885 -3.844 7.435
Er Sm Zr
1 2 1
Direct
0.500 0.500 0.500
0.914 0.914 0.259
0.086 0.086 0.741
0.000 0.000 0.000
```

=====

Sequential calculated formation energy output: 0.108 0.166 0.299 eV per atom